Below is a relaxed structure of LiAcNiSn, with properties calculated at the PBE-GGA level.

abc: 4.954 4.954 4.954
angles: 60.00 60.00 60.00
Sites, in units of the cell vectors:
Ni (0.500, 0.500, 0.500)
Ac (0.750, 0.750, 0.750)
Sn (0.250, 0.250, 0.250)
Li (0.000, 0.000, 0.000)

Calculated values
- ΔH_f (0 K): -0.389 eV/atom